Entry 1:
HoZnB4 | GGA-PBE | relaxed

Computed properties:
M_tot in μB/cell: 0.00
Excess energy over the best structure of this formula in the dataset in meV per atom: 92

CIF file:
```
data_HoZnB4
_space_group_name_H-M_alt 'P 6/m m m'
_space_group_IT_number 191
_space_group_name_Hall '-P 6 2'
_cell_length_a 3.1754
_cell_length_b 3.1754
_cell_length_c 7.1129
_cell_angle_alpha 90.00
_cell_angle_beta 90.00
_cell_angle_gamma 120.00
loop_
_atom_site_label
_atom_site_type_symbol
_atom_site_fract_x
_atom_site_fract_y
_atom_site_fract_z
_atom_site_occupancy
Ho1 Ho 0.0000 0.0000 0.0000 1
Zn1 Zn 0.0000 0.0000 0.5000 1
B1 B 0.3333 0.6667 0.2680 1
```

---

Entry 2:
RbZrFeTe3 | GGA-PBE | relaxed

Computed properties:
M_tot in μB/cell: 11.41

CIF file:
```
data_RbZrFeTe3
_space_group_name_H-M_alt 'C m c m'
_space_group_IT_number 63
_space_group_name_Hall '-C 2c 2'
_cell_length_a 4.042
_cell_length_b 17.170
_cell_length_c 10.712
_cell_angle_alpha 90.00
_cell_angle_beta 90.00
_cell_angle_gamma 90.00
loop_
_atom_site_label
_atom_site_type_symbol
_atom_site_fract_x
_atom_site_fract_y
_atom_site_fract_z
_atom_site_occupancy
Rb1 Rb 0.000 0.249 0.250 1
Zr1 Zr 0.000 0.500 0.000 1
Fe1 Fe 0.000 0.027 0.750 1
Te1 Te 0.000 0.119 0.559 1
Te2 Te 0.000 0.428 0.750 1
```

---

Entry 3:
PrHfTa | GGA-PBE | relaxed

Computed properties:
M_tot in μB/cell: 0.05
DFT formation energy in eV/atom: 1.128

CIF file:
```
data_PrHfTa
_space_group_name_H-M_alt 'F -4 3 m'
_space_group_IT_number 216
_space_group_name_Hall 'F -4 2 3'
_cell_length_a 6.865
_cell_length_b 6.865
_cell_length_c 6.865
_cell_angle_alpha 90.00
_cell_angle_beta 90.00
_cell_angle_gamma 90.00
loop_
_atom_site_label
_atom_site_type_symbol
_atom_site_fract_x
_atom_site_fract_y
_atom_site_fract_z
_atom_site_occupancy
Pr1 Pr 0.000 0.000 0.000 1
Hf1 Hf 0.250 0.250 0.250 1
Ta1 Ta 0.000 0.000 0.500 1
```

---

no.,VASP energy (eV per atom)
1,-5.50
2,-5.24
3,-7.73